The following is a DFT calculation (PBE) of a relaxed structure of ScIn2AgBr6.

Results
For the formation energy from raw total energies, the calculation gives -10.02 eV per formula unit.

a = 7.458 Å, b = 7.891 Å, c = 12.917 Å
α = 90.00°, β = 124.31°, γ = 90.00°
Space group P2_1/c (No. 14)
Unique sites:
1 Sc 0.000 0.000 0.000 x2
2 In 0.281 0.083 0.755 x4
3 Ag 0.500 0.000 0.500 x2
4 Br 0.148 0.017 0.243 x4
5 Br 0.227 0.714 0.044 x4
6 Br 0.336 0.185 0.043 x4